Entry 1:
Computed, not measured: a PBEsol-optimized structure of HfBiPd2I at the meta-GGA SCAN level of DFT.

Cell lengths 4.905, 4.905, 5.791 Å; angles 90.00, 90.00, 90.00 degrees
Fractional coordinates of all 5 atoms:
Hf1 0.000 0.000 0.000
Bi1 0.000 0.000 0.500
Pd1 0.000 0.500 0.000
Pd2 0.500 0.000 0.000
I1 0.500 0.500 0.500

formation energy without anion corrections = 63 kJ per mole of atoms

Entry 2:
Computed, not measured: a PBEsol-optimized structure of PuPd3 at the meta-GGA SCAN level of DFT.

Cell lengths 4.065, 4.065, 4.065 Å; angles 90.00, 90.00, 90.00 degrees
Fractional coordinates of all 4 atoms:
Pu1 0.000 0.000 0.000
Pd1 0.000 0.500 0.500
Pd2 0.500 0.000 0.500
Pd3 0.500 0.500 0.000

total DFT energy (no corrections) = -52.574 eV/atom